# 1
The following is a PBE-GGA calculation of a geometry-optimized La2YCrSn structure, from the Alexandria database.

Cell: 5.1893 5.1893 5.3400 Å, 90.00 90.00 90.00°
Closest atoms and distances in Å follow each position.
Fractional coordinates of all 5 atoms:
La  0.0000  0.5000  0.0000  2 Cr 2.59
La  0.5000  0.0000  0.0000  2 Cr 2.59
Y  0.0000  0.0000  0.5000  4 Sn 3.67, 8 La 3.72
Cr  0.5000  0.5000  0.0000  4 La 2.59, 2 Sn 2.67
Sn  0.5000  0.5000  0.5000  2 Cr 2.67

- total energy (eV for the cell shown) = -29.34
- DFT formation energy (kJ/mol of formula units) = 58

# 2
The following is a PBE-GGA calculation of a geometry-optimized MgAs2Au structure, from the Alexandria database.

Cell: 4.2635 3.7729 5.1105 Å, 90.00 108.31 90.00°
Closest atoms and distances in Å follow each position.
Fractional coordinates of all 4 atoms:
Mg  0.0000  0.0000  0.0000  6 As 2.77-2.85
As  0.5000  0.0000  0.5000  2 Mg 2.77, 4 Au 2.85
As  0.5000  0.5000  0.0000  2 Au 2.77, 4 Mg 2.85
Au  0.0000  0.5000  0.5000  6 As 2.77-2.85

- total energy (eV for the cell shown) = -14.56
- DFT formation energy (kJ/mol of formula units) = -38

Repeat the second record exactly.
The following is a PBE-GGA calculation of a geometry-optimized MgAs2Au structure, from the Alexandria database.

Cell: 4.2635 3.7729 5.1105 Å, 90.00 108.31 90.00°
Closest atoms and distances in Å follow each position.
Fractional coordinates of all 4 atoms:
Mg  0.0000  0.0000  0.0000  6 As 2.77-2.85
As  0.5000  0.0000  0.5000  2 Mg 2.77, 4 Au 2.85
As  0.5000  0.5000  0.0000  2 Au 2.77, 4 Mg 2.85
Au  0.0000  0.5000  0.5000  6 As 2.77-2.85

- total energy (eV for the cell shown) = -14.56
- DFT formation energy (kJ/mol of formula units) = -38